CuAg8Sn2 after structural relaxation. Source: Alexandria via LeMat-Bulk, functional PBE.

## Properties
energy of formation from the pure elements = 109 meV per atom
DOS at the Fermi energy = 3.1 states/eV/f.u.
theoretical density = 8.722 g cm⁻³

```
data_CuAg8Sn2
_chemical_formula_sum 'Cu2 Ag16 Sn4'
_space_group_name_H-M_alt 'C 1 2/m 1'
_space_group_IT_number 12
_space_group_name_Hall '-C 2y'
_cell_length_a 12.7425
_cell_length_b 7.1682
_cell_length_c 5.0464
_cell_angle_alpha 90.00
_cell_angle_beta 105.95
_cell_angle_gamma 90.00
loop_
_atom_site_label
_atom_site_type_symbol
_atom_site_fract_x
_atom_site_fract_y
_atom_site_fract_z
Cu1 Cu 0.0000 0.0000 0.0000
Ag1 Ag 0.0668 0.3045 0.7953
Ag2 Ag 0.1396 0.5000 0.3431
Ag3 Ag 0.2287 0.0000 0.0668
Sn1 Sn 0.1266 0.0000 0.4967
```

***

Y4Te2SN2 after structural relaxation. Source: Alexandria via LeMat-Bulk, functional PBE.

## Properties
uncorrected formation energy = -159.3 kJ per mole of atoms
DOS at the Fermi energy = 0.1 states/eV/f.u.
theoretical density = 5.255 g cm⁻³

```
data_Y4Te2SN2
_chemical_formula_sum 'Y8 Te4 S2 N4'
_space_group_name_H-M_alt 'C 1 2/m 1'
_space_group_IT_number 12
_space_group_name_Hall '-C 2y'
_cell_length_a 15.3098
_cell_length_b 3.9932
_cell_length_c 7.2476
_cell_angle_alpha 90.00
_cell_angle_beta 106.89
_cell_angle_gamma 90.00
loop_
_atom_site_label
_atom_site_type_symbol
_atom_site_fract_x
_atom_site_fract_y
_atom_site_fract_z
Y1 Y 0.0450 0.0000 0.2744
Y2 Y 0.2094 0.5000 0.6487
Te1 Te 0.1319 0.5000 0.0346
S1 S 0.0000 0.5000 0.5000
N1 N 0.1743 0.0000 0.4877
```

***

SrCuSi2 after structural relaxation. Source: Alexandria via LeMat-Bulk, functional PBE.

## Properties
uncorrected formation energy = -12.6 kJ per mole of atoms
DOS at the Fermi energy = 2.4 states/eV/f.u.
theoretical density = 3.756 g cm⁻³

```
data_SrCuSi2
_chemical_formula_sum 'Sr1 Cu1 Si2'
_space_group_name_H-M_alt 'P 1 m 1'
_space_group_IT_number 6
_space_group_name_Hall 'P -2y'
_cell_length_a 4.6935
_cell_length_b 4.1229
_cell_length_c 4.7365
_cell_angle_alpha 90.00
_cell_angle_beta 90.03
_cell_angle_gamma 90.00
loop_
_atom_site_label
_atom_site_type_symbol
_atom_site_fract_x
_atom_site_fract_y
_atom_site_fract_z
Sr1 Sr 0.0000 0.0000 0.0000
Cu1 Cu 0.4991 0.5000 0.7482
Si1 Si 0.5002 0.0000 0.5000
Si2 Si 0.5004 0.5000 0.2341
```

***

YTa2P after structural relaxation. Source: Alexandria via LeMat-Bulk, functional PBE.

## Properties
energy of formation from the pure elements = 156 meV per atom
DOS at the Fermi energy = 3.5 states/eV/f.u.
theoretical density = 10.592 g cm⁻³

```
data_YTa2P
_chemical_formula_sum 'Y2 Ta4 P2'
_space_group_name_H-M_alt 'I -4 m 2'
_space_group_IT_number 119
_space_group_name_Hall 'I -4 -2'
_cell_length_a 4.3663
_cell_length_b 4.3663
_cell_length_c 7.9237
_cell_angle_alpha 90.00
_cell_angle_beta 90.00
_cell_angle_gamma 90.00
loop_
_atom_site_label
_atom_site_type_symbol
_atom_site_fract_x
_atom_site_fract_y
_atom_site_fract_z
Y1 Y 0.0000 0.0000 0.0000
Ta1 Ta 0.0000 0.0000 0.5000
Ta2 Ta 0.0000 0.5000 0.2500
P1 P 0.0000 0.5000 0.7500
```

***

Mg2TcHg after structural relaxation. Source: Alexandria via LeMat-Bulk, functional PBE.

## Properties
energy of formation from the pure elements = 227 meV per atom
DOS at the Fermi energy = 2.6 states/eV/f.u.
theoretical density = 7.851 g cm⁻³

```
data_Mg2TcHg
_chemical_formula_sum 'Mg4 Tc2 Hg2'
_space_group_name_H-M_alt 'I m m 2'
_space_group_IT_number 44
_space_group_name_Hall 'I 2 -2'
_cell_length_a 3.1245
_cell_length_b 4.7395
_cell_length_c 9.9173
_cell_angle_alpha 90.00
_cell_angle_beta 90.00
_cell_angle_gamma 90.00
loop_
_atom_site_label
_atom_site_type_symbol
_atom_site_fract_x
_atom_site_fract_y
_atom_site_fract_z
Mg1 Mg 0.0000 0.0000 0.0000
Mg2 Mg 0.0000 0.5000 0.2251
Tc1 Tc 0.0000 0.5000 0.7351
Hg1 Hg 0.0000 0.0000 0.4745
```

***

KCrI2 after structural relaxation. Source: Alexandria via LeMat-Bulk, functional PBE.

## Properties
uncorrected formation energy = -29.6 kJ per mole of atoms
polymorph energy (0 for the lowest one) = 235 meV per atom
DOS at the Fermi energy = 4.7 states/eV/f.u.
theoretical density = 3.417 g cm⁻³

```
data_KCrI2
_chemical_formula_sum 'K3 Cr3 I6'
_space_group_name_H-M_alt 'R -3 m'
_space_group_IT_number 166
_space_group_name_Hall '-R 3 2"'
_cell_length_a 4.4212
_cell_length_b 4.4212
_cell_length_c 29.7055
_cell_angle_alpha 90.00
_cell_angle_beta 90.00
_cell_angle_gamma 120.00
loop_
_atom_site_label
_atom_site_type_symbol
_atom_site_fract_x
_atom_site_fract_y
_atom_site_fract_z
K1 K 0.0000 0.0000 0.0000
Cr1 Cr 0.0000 0.0000 0.5000
I1 I 0.0000 0.0000 0.1141
```

***

La2Dy3Th2 after structural relaxation. Source: Alexandria via LeMat-Bulk, functional PBE.

## Properties
energy of formation from the pure elements = 103 meV per atom
DOS at the Fermi energy = 11.1 states/eV/f.u.
theoretical density = 8.698 g cm⁻³

```
data_La2Dy3Th2
_chemical_formula_sum 'La2 Dy3 Th2'
_space_group_name_H-M_alt 'P -1'
_space_group_IT_number 2
_space_group_name_Hall '-P 1'
_cell_length_a 3.5365
_cell_length_b 8.5740
_cell_length_c 8.7865
_cell_angle_alpha 116.91
_cell_angle_beta 90.68
_cell_angle_gamma 97.62
loop_
_atom_site_label
_atom_site_type_symbol
_atom_site_fract_x
_atom_site_fract_y
_atom_site_fract_z
La1 La 0.1358 0.3498 0.0734
Dy1 Dy 0.4563 0.9454 0.7741
Dy2 Dy 0.5000 0.5000 0.5000
Th1 Th 0.0769 0.2183 0.6313
```

***

Ac2BiRh2 after structural relaxation. Source: Alexandria via LeMat-Bulk, functional PBE.

## Properties
polymorph energy (0 for the lowest one) = 123 meV per atom
energy of formation from the pure elements = -564 meV per atom
DOS at the Fermi energy = 3.2 states/eV/f.u.
theoretical density = 10.055 g cm⁻³

```
data_Ac2BiRh2
_chemical_formula_sum 'Ac4 Bi2 Rh4'
_space_group_name_H-M_alt 'P 1 21/m 1'
_space_group_IT_number 11
_space_group_name_Hall '-P 2yb'
_cell_length_a 5.9262
_cell_length_b 4.5506
_cell_length_c 10.9316
_cell_angle_alpha 90.00
_cell_angle_beta 103.24
_cell_angle_gamma 90.00
loop_
_atom_site_label
_atom_site_type_symbol
_atom_site_fract_x
_atom_site_fract_y
_atom_site_fract_z
Ac1 Ac 0.0485 0.2500 0.2509
Ac2 Ac 0.3835 0.2500 0.6179
Bi1 Bi 0.3274 0.7500 0.0552
Rh1 Rh 0.1393 0.7500 0.4506
Rh2 Rh 0.4683 0.7500 0.8237
```

***

ZrGa4Pd2 after structural relaxation. Source: Alexandria via LeMat-Bulk, functional PBE.

## Properties
energy of formation from the pure elements = 185 meV per atom
DOS at the Fermi energy = 4.4 states/eV/f.u.
theoretical density = 5.906 g cm⁻³

```
data_ZrGa4Pd2
_chemical_formula_sum 'Zr2 Ga8 Pd4'
_space_group_name_H-M_alt 'I 4/m m m'
_space_group_IT_number 139
_space_group_name_Hall '-I 4 2'
_cell_length_a 5.0405
_cell_length_b 5.0405
_cell_length_c 12.9032
_cell_angle_alpha 90.00
_cell_angle_beta 90.00
_cell_angle_gamma 90.00
loop_
_atom_site_label
_atom_site_type_symbol
_atom_site_fract_x
_atom_site_fract_y
_atom_site_fract_z
Zr1 Zr 0.0000 0.0000 0.0000
Ga1 Ga 0.0000 0.0000 0.2149
Ga2 Ga 0.0000 0.5000 0.0000
Pd1 Pd 0.0000 0.0000 0.3994
```

***

LaFeOs2 after structural relaxation. Source: Alexandria via LeMat-Bulk, functional PBE.

## Properties
polymorph energy (0 for the lowest one) = 513 meV per atom
energy of formation from the pure elements = 586 meV per atom
DOS at the Fermi energy = 4.1 states/eV/f.u.
theoretical density = 13.140 g cm⁻³

```
data_LaFeOs2
_chemical_formula_sum 'La2 Fe2 Os4'
_space_group_name_H-M_alt 'I m m 2'
_space_group_IT_number 44
_space_group_name_Hall 'I 2 -2'
_cell_length_a 2.9922
_cell_length_b 4.9403
_cell_length_c 9.8350
_cell_angle_alpha 90.00
_cell_angle_beta 90.00
_cell_angle_gamma 90.00
loop_
_atom_site_label
_atom_site_type_symbol
_atom_site_fract_x
_atom_site_fract_y
_atom_site_fract_z
La1 La 0.0000 0.0000 0.0000
Fe1 Fe 0.0000 0.5000 0.2149
Os1 Os 0.0000 0.0000 0.5010
Os2 Os 0.0000 0.5000 0.7809
```

***

MnSnBi3 after structural relaxation. Source: Alexandria via LeMat-Bulk, functional PBE.

## Properties
polymorph energy (0 for the lowest one) = 0 meV per atom
energy of formation from the pure elements = 496 meV per atom
DOS at the Fermi energy = 5.7 states/eV/f.u.
theoretical density = 9.879 g cm⁻³

```
data_MnSnBi3
_chemical_formula_sum 'Mn1 Sn1 Bi3'
_space_group_name_H-M_alt 'P m -3 m'
_space_group_IT_number 221
_space_group_name_Hall '-P 4 2 3'
_cell_length_a 5.1245
_cell_length_b 5.1245
_cell_length_c 5.1245
_cell_angle_alpha 90.00
_cell_angle_beta 90.00
_cell_angle_gamma 90.00
loop_
_atom_site_label
_atom_site_type_symbol
_atom_site_fract_x
_atom_site_fract_y
_atom_site_fract_z
Mn1 Mn 0.0000 0.0000 0.0000
Sn1 Sn 0.5000 0.5000 0.5000
Bi1 Bi 0.0000 0.0000 0.5000
```

***

BaGaSiPd6 after structural relaxation. Source: Alexandria via LeMat-Bulk, functional PBE.

## Properties
uncorrected formation energy = -32.9 kJ per mole of atoms
DOS at the Fermi energy = 2.2 states/eV/f.u.
theoretical density = 7.805 g cm⁻³

```
data_BaGaSiPd6
_chemical_formula_sum 'Ba4 Ga4 Si4 Pd24'
_space_group_name_H-M_alt 'I m m a'
_space_group_IT_number 74
_space_group_name_Hall '-I 2b 2'
_cell_length_a 7.1242
_cell_length_b 9.1668
_cell_length_c 11.3847
_cell_angle_alpha 90.00
_cell_angle_beta 90.00
_cell_angle_gamma 90.00
loop_
_atom_site_label
_atom_site_type_symbol
_atom_site_fract_x
_atom_site_fract_y
_atom_site_fract_z
Ba1 Ba 0.0000 0.2500 0.1685
Ga1 Ga 0.2500 0.2500 0.7500
Si1 Si 0.0000 0.0000 0.5000
Pd1 Pd 0.0000 0.2500 0.4440
Pd2 Pd 0.0000 0.2500 0.8973
Pd3 Pd 0.2491 0.0227 0.8751
```

***

ZnPNCl2 after structural relaxation. Source: Alexandria via LeMat-Bulk, functional PBE.

## Properties
uncorrected formation energy = 109.9 kJ per mole of atoms
polymorph energy (0 for the lowest one) = 441 meV per atom
DOS at the Fermi energy = 2.8 states/eV/f.u.
theoretical density = 2.619 g cm⁻³

```
data_ZnPNCl2
_chemical_formula_sum 'Zn1 P1 N1 Cl2'
_space_group_name_H-M_alt 'P 4/m m m'
_space_group_IT_number 123
_space_group_name_Hall '-P 4 2'
_cell_length_a 4.8468
_cell_length_b 4.8468
_cell_length_c 4.8932
_cell_angle_alpha 90.00
_cell_angle_beta 90.00
_cell_angle_gamma 90.00
loop_
_atom_site_label
_atom_site_type_symbol
_atom_site_fract_x
_atom_site_fract_y
_atom_site_fract_z
Zn1 Zn 0.0000 0.0000 0.0000
P1 P 0.0000 0.0000 0.5000
N1 N 0.5000 0.5000 0.5000
Cl1 Cl 0.0000 0.5000 0.0000
```

***

| no. | E_tot (hartree per atom) |
| --- | --- |
| 1 | -0.1126 |
| 2 | -0.2767 |
| 3 | -0.1575 |
| 4 | -0.3212 |
| 5 | -0.1190 |
| 6 | -0.1383 |
| 7 | -0.1984 |
| 8 | -0.2177 |
| 9 | -0.1561 |
| 10 | -0.3078 |
| 11 | -0.1642 |
| 12 | -0.1821 |
| 13 | -0.0956 |